No. 1
Density functional theory data (PBE-GGA) for a geometry-optimized CaAl2Pb structure.

Results
Fermi-level density of states = 1.25 states/eV per cell
ΔE_f = 60 kJ/mol of formula units

abc: 9.7207 9.7207 9.7207
angles: 21.32 21.32 21.32
Fractional coordinates of all 4 atoms:
Al  0.4971  0.4971  0.4971
Al  0.0029  0.0029  0.0029
Ca  0.2500  0.2500  0.2500
Pb  0.7500  0.7500  0.7500

---

No. 2
Density functional theory data (PBE-GGA) for a geometry-optimized Ca2AlPb structure.

Results
energy above the most stable polymorph in this dataset = 0 meV/atom
Fermi-level density of states = 1.19 states/eV per cell
ΔE_f = -134 kJ/mol of formula units

abc: 3.7625 3.7625 7.9231
angles: 90.00 90.00 90.00
Fractional coordinates of all 4 atoms:
Ca  0.0000  0.0000  0.9847
Ca  0.0000  0.0000  0.5153
Al  0.5000  0.5000  0.7500
Pb  0.5000  0.5000  0.2500

---

No. 3
Density functional theory data (PBE-GGA) for a geometry-optimized CaPmAlPb structure.

Results
Fermi-level density of states = 2.13 states/eV per cell
ΔE_f = -127 kJ/mol of formula units

abc: 5.4087 5.4087 5.4087
angles: 60.00 60.00 60.00
Fractional coordinates of all 4 atoms:
Pm  0.0000  0.0000  0.0000
Al  0.7500  0.7500  0.7500
Ca  0.5000  0.5000  0.5000
Pb  0.2500  0.2500  0.2500